No. 1
A plane-wave DFT calculation with PBE was carried out for Ti11Ni4Pt9 after structural relaxation.

Computed properties:
- crystal system = orthorhombic
- energy of formation (eV/atom) = -0.79

Cell lengths 2.850, 11.681, 11.681 Å; angles 112.93, 90.00, 90.00 degrees
Fractional coordinates of all 24 atoms:
Pt 0.500 0.929 0.782
Pt 0.500 0.500 0.500
Pt 0.500 0.071 0.218
Pt 0.500 0.157 0.626
Pt 0.500 0.218 0.071
Pt 0.500 0.374 0.843
Pt 0.500 0.626 0.157
Pt 0.500 0.782 0.929
Pt 0.500 0.843 0.374
Ti 0.000 0.370 0.630
Ti 0.000 0.837 0.163
Ti 0.000 0.059 0.409
Ti 0.000 0.699 0.699
Ti 0.000 0.301 0.301
Ti 0.000 0.630 0.370
Ti 0.000 0.591 0.941
Ti 0.000 0.000 0.000
Ti 0.000 0.409 0.059
Ti 0.000 0.941 0.591
Ti 0.000 0.163 0.837
Ni 0.500 0.749 0.551
Ni 0.500 0.551 0.749
Ni 0.500 0.449 0.251
Ni 0.500 0.251 0.449

=====

No. 2
A plane-wave DFT calculation with PBE was carried out for Ti3NiPt2 after structural relaxation.

Computed properties:
- crystal system = orthorhombic
- energy of formation (eV/atom) = -0.39

Cell lengths 2.748, 4.728, 7.940 Å; angles 107.32, 99.97, 90.00 degrees
Fractional coordinates of all 6 atoms:
Ti 0.825 0.825 0.651
Ti 0.175 0.175 0.349
Ti 0.000 0.500 0.000
Pt 0.348 0.348 0.695
Pt 0.652 0.652 0.305
Ni 0.000 0.000 0.000

=====

No. 3
A plane-wave DFT calculation with PBE was carried out for TiNi8Pt6 after structural relaxation.

Computed properties:
- crystal system = trigonal
- energy of formation (eV/atom) = -0.11

Cell lengths 6.649, 6.649, 6.649 Å; angles 59.17, 59.17, 59.17 degrees
Site moments in Bohr magnetons follow the coordinates.
Fractional coordinates of all 15 atoms:
Ni 0.877 0.333 0.197  0.58
Ni 0.123 0.667 0.803  0.58
Ni 0.333 0.197 0.877  0.58
Ni 0.803 0.123 0.667  0.58
Ni 0.424 0.424 0.424  0.67
Ni 0.576 0.576 0.576  0.67
Ni 0.667 0.803 0.123  0.58
Ni 0.197 0.877 0.333  0.58
Pt 0.267 0.047 0.542  0.17
Pt 0.733 0.953 0.458  0.17
Pt 0.542 0.267 0.047  0.17
Pt 0.047 0.542 0.267  0.17
Pt 0.458 0.733 0.953  0.17
Pt 0.953 0.458 0.733  0.17
Ti 0.000 0.000 0.000  -0.14

=====

No. 4
A plane-wave DFT calculation with PBE was carried out for TiNi2Pt2 after structural relaxation.

Computed properties:
- crystal system = tetragonal
- energy of formation (eV/atom) = -0.36

Cell lengths 6.274, 6.274, 3.572 Å; angles 90.00, 90.00, 90.00 degrees
Fractional coordinates of all 10 atoms:
Pt 0.664 0.836 0.500
Pt 0.164 0.664 0.500
Pt 0.336 0.164 0.500
Pt 0.836 0.336 0.500
Ti 0.000 0.000 0.000
Ti 0.500 0.500 0.000
Ni 0.134 0.366 0.000
Ni 0.634 0.134 0.000
Ni 0.366 0.866 0.000
Ni 0.866 0.634 0.000

=====

No. 5
A plane-wave DFT calculation with PBE was carried out for TiNi2Pt5 after structural relaxation.

Computed properties:
- crystal system = tetragonal
- energy of formation (eV/atom) = -0.30

Cell lengths 6.585, 6.585, 7.162 Å; angles 117.37, 117.37, 90.00 degrees
Fractional coordinates of all 16 atoms:
Pt 0.189 0.993 0.682
Pt 0.811 0.007 0.318
Pt 0.000 0.000 0.000
Pt 0.689 0.189 0.682
Pt 0.507 0.311 0.318
Pt 0.311 0.811 0.318
Pt 0.007 0.507 0.318
Pt 0.500 0.500 0.000
Pt 0.493 0.689 0.682
Pt 0.993 0.493 0.682
Ni 0.140 0.360 0.000
Ni 0.640 0.140 0.000
Ni 0.360 0.860 0.000
Ni 0.860 0.640 0.000
Ti 0.750 0.750 0.500
Ti 0.250 0.250 0.500

=====

No. 6
A plane-wave DFT calculation with PBE was carried out for Ti4NiPt after structural relaxation.

Computed properties:
- crystal system = tetragonal
- energy of formation (eV/atom) = -0.19

Cell lengths 4.233, 4.234, 5.996 Å; angles 89.97, 89.99, 90.00 degrees
Fractional coordinates of all 6 atoms:
Ti 0.001 0.497 0.738
Ti 0.501 0.998 0.738
Ti 0.001 0.497 0.258
Ti 0.501 0.997 0.258
Pt 0.501 0.497 0.998
Ni 0.001 0.997 0.498

=====

No. 7
A plane-wave DFT calculation with PBE was carried out for Ti3NiPt2 after structural relaxation.

Computed properties:
- crystal system = orthorhombic
- energy of formation (eV/atom) = -0.73

Cell lengths 3.815, 3.952, 11.856 Å; angles 90.00, 90.00, 90.00 degrees
Site moments in Bohr magnetons follow the coordinates.
Fractional coordinates of all 12 atoms:
Ni 0.000 0.500 0.500  0.02
Ni 0.000 0.000 0.000  0.02
Ti 0.500 0.000 0.838  0.19
Ti 0.500 0.000 0.500  0.15
Ti 0.500 0.500 0.000  0.15
Ti 0.500 0.500 0.662  0.19
Ti 0.500 0.000 0.162  0.19
Ti 0.500 0.500 0.338  0.19
Pt 0.000 0.500 0.163  0.00
Pt 0.000 0.000 0.337  0.00
Pt 0.000 0.500 0.837  0.00
Pt 0.000 0.000 0.663  0.00

=====

No. 8
A plane-wave DFT calculation with PBE was carried out for Ti3Ni2Pt3 after structural relaxation.

Computed properties:
- crystal system = hexagonal
- energy of formation (eV/atom) = -0.53

Cell lengths 5.001, 7.551, 7.551 Å; angles 120.00, 90.00, 90.00 degrees
Fractional coordinates of all 16 atoms:
Ni 0.000 0.667 0.333
Ni 0.500 0.333 0.667
Ni 0.000 0.333 0.667
Ni 0.500 0.667 0.333
Pt 0.750 0.270 0.000
Pt 0.250 0.270 0.270
Pt 0.250 0.730 0.000
Pt 0.750 0.000 0.270
Pt 0.250 0.000 0.730
Pt 0.750 0.730 0.730
Ti 0.750 0.389 0.389
Ti 0.250 0.000 0.389
Ti 0.750 0.000 0.611
Ti 0.250 0.389 0.000
Ti 0.250 0.611 0.611
Ti 0.750 0.611 0.000

=====

No. 9
A plane-wave DFT calculation with PBE was carried out for Ti2Ni2Pt5 after structural relaxation.

Computed properties:
- crystal system = orthorhombic
- energy of formation (eV/atom) = -0.36

Cell lengths 7.388, 5.811, 8.034 Å; angles 111.20, 117.37, 90.00 degrees
Fractional coordinates of all 18 atoms:
Ni 0.293 0.433 0.500
Ni 0.500 0.597 0.000
Ni 0.000 0.097 0.000
Ni 0.707 0.933 0.500
Pt 0.498 0.483 0.297
Pt 0.299 0.983 0.297
Pt 0.985 0.231 0.500
Pt 0.015 0.731 0.500
Pt 0.241 0.206 0.882
Pt 0.759 0.324 0.118
Pt 0.860 0.824 0.118
Pt 0.701 0.686 0.703
Pt 0.140 0.706 0.882
Pt 0.502 0.186 0.703
Ti 0.414 0.827 0.776
Ti 0.586 0.051 0.224
Ti 0.863 0.327 0.776
Ti 0.137 0.551 0.224

=====

No. 10
A plane-wave DFT calculation with PBE was carried out for Ti4Ni6Pt7 after structural relaxation.

Computed properties:
- crystal system = cubic
- energy of formation (eV/atom) = -0.43

Cell lengths 6.859, 6.859, 6.859 Å; angles 109.47, 109.47, 109.47 degrees
Fractional coordinates of all 17 atoms:
Ti 0.000 0.000 0.500
Ti 0.500 0.500 0.500
Ti 0.500 0.000 0.000
Ti 0.000 0.500 0.000
Ni 0.700 0.700 0.000
Ni 0.000 0.300 0.300
Ni 0.000 0.700 0.700
Ni 0.700 0.000 0.700
Ni 0.300 0.000 0.300
Ni 0.300 0.300 0.000
Pt 0.750 0.500 0.250
Pt 0.250 0.500 0.750
Pt 0.500 0.250 0.750
Pt 0.750 0.250 0.500
Pt 0.500 0.750 0.250
Pt 0.250 0.750 0.500
Pt 0.000 0.000 0.000

=====

No. 11
A plane-wave DFT calculation with PBE was carried out for TiNi3Pt3 after structural relaxation.

Computed properties:
- crystal system = cubic
- energy of formation (eV/atom) = -0.26

Cell lengths 7.374, 7.374, 7.374 Å; angles 90.00, 90.00, 90.00 degrees
Fractional coordinates of all 28 atoms:
Ti 0.596 0.904 0.096
Ti 0.904 0.096 0.596
Ti 0.404 0.404 0.404
Ti 0.096 0.596 0.904
Pt 0.213 0.113 0.431
Pt 0.569 0.713 0.387
Pt 0.387 0.569 0.713
Pt 0.613 0.069 0.787
Pt 0.713 0.387 0.569
Pt 0.069 0.787 0.613
Pt 0.931 0.287 0.887
Pt 0.887 0.931 0.287
Pt 0.787 0.613 0.069
Pt 0.431 0.213 0.113
Pt 0.287 0.887 0.931
Pt 0.113 0.431 0.213
Ni 0.780 0.280 0.220
Ni 0.105 0.105 0.105
Ni 0.720 0.720 0.720
Ni 0.220 0.780 0.280
Ni 0.085 0.415 0.585
Ni 0.280 0.220 0.780
Ni 0.605 0.395 0.895
Ni 0.395 0.895 0.605
Ni 0.415 0.585 0.085
Ni 0.895 0.605 0.395
Ni 0.915 0.915 0.915
Ni 0.585 0.085 0.415

=====

No. 12
A plane-wave DFT calculation with PBE was carried out for Ti3Ni3Pt after structural relaxation.

Computed properties:
- crystal system = hexagonal
- energy of formation (eV/atom) = -0.53

Cell lengths 4.365, 7.149, 7.149 Å; angles 120.00, 90.00, 90.00 degrees
Fractional coordinates of all 14 atoms:
Pt 0.250 0.667 0.333
Pt 0.750 0.333 0.667
Ni 0.250 0.819 0.778
Ni 0.750 0.778 0.959
Ni 0.250 0.959 0.181
Ni 0.750 0.041 0.819
Ni 0.250 0.222 0.041
Ni 0.750 0.181 0.222
Ti 0.750 0.432 0.086
Ti 0.250 0.345 0.432
Ti 0.750 0.914 0.345
Ti 0.250 0.568 0.914
Ti 0.750 0.655 0.568
Ti 0.250 0.086 0.655

=====

| no. | E_tot (eV/atom) |
| --- | --- |
| 1 | -7.6350 |
| 2 | -7.3151 |
| 3 | -6.1314 |
| 4 | -6.6669 |
| 5 | -6.5089 |
| 6 | -7.4227 |
| 7 | -7.6531 |
| 8 | -7.2018 |
| 9 | -6.7566 |
| 10 | -6.8115 |
| 11 | -6.4496 |
| 12 | -7.2550 |